# SrCoSb2, relaxed, DFT PBE
data_SrCoSb2
_chemical_formula_sum 'Sr4 Co4 Sb8'
_cell_length_a 7.303
_cell_length_b 7.303
_cell_length_c 7.303
_cell_angle_alpha 90.00
_cell_angle_beta 90.00
_cell_angle_gamma 90.00
_symmetry_space_group_name_H-M 'F -4 3 m'
_symmetry_Int_Tables_number 216
_symmetry_space_group_name_Hall 'F -4 2 3'
loop_
_atom_site_label
_atom_site_type_symbol
_atom_site_fract_x
_atom_site_fract_y
_atom_site_fract_z
Sr1 Sr 0.000 0.000 0.000
Co1 Co 0.250 0.250 0.250
Sb1 Sb 0.000 0.000 0.500
Sb2 Sb 0.250 0.250 0.750
# uncorrected energy	-64.32	eV per cell
# magnetic moment	0.30	μB per atom